PBE SiPbCl, optimized geometry; formation energy from raw total energies = 0.362 eV/atom; magnetization = 0.003 μB/atom
1.0
4.933 0.000 0.000
2.466 4.272 0.000
2.466 1.424 4.027
Si Cl Pb
1 1 1
direct
0.000 0.000 0.000
0.500 0.500 0.500
0.750 0.750 0.750